# 1
{
  "formula": "Ca4Mg3Zn2",
  "functional": "GGA-PBE",
  "state": "optimized geometry",
  "cell": [[8.1315, -2.2313, 0.0000], [8.1315, 2.2313, 0.0000], [-2.3952, 0.0000, 7.1509]],
  "species": ["Ca", "Ca", "Ca", "Ca", "Mg", "Mg", "Mg", "Zn", "Zn"],
  "fractional_positions": [[0.0797, 0.0797, 0.3540], [0.2688, 0.2688, 0.8095], [0.7312, 0.7312, 0.1905], [0.9203, 0.9203, 0.6460], [0.4078, 0.4078, 0.2999], [0.5000, 0.5000, 0.0000], [0.5922, 0.5922, 0.7001], [0.1057, 0.1057, 0.9510], [0.8943, 0.8943, 0.0490]],
  "delta_e_f_ev_per_atom": -0.1211,
  "energy_ev_per_cell": -16.4,
  "magmom_total_mub_per_cell": 0.00
}


# 2
{
  "formula": "CaMgZn",
  "functional": "GGA-PBE",
  "state": "optimized geometry",
  "cell": [[3.8423, 0.0000, 0.0000], [0.0000, 5.9886, 0.0000], [0.0000, 0.0000, 7.0264]],
  "species": ["Ca", "Ca", "Mg", "Mg", "Zn", "Zn"],
  "fractional_positions": [[0.0000, 0.1047, 0.0000], [0.0000, 0.8953, 0.5000], [0.5000, 0.3884, 0.3506], [0.5000, 0.6116, 0.8506], [0.0000, 0.3853, 0.6355], [0.0000, 0.6147, 0.1355]],
  "delta_e_f_ev_per_atom": -0.0330,
  "energy_ev_per_cell": -9.9,
  "magmom_total_mub_per_cell": 0.00
}


# 3
{
  "formula": "CaMg2Zn",
  "functional": "GGA-PBE",
  "state": "optimized geometry",
  "cell": [[5.2758, 0.0000, 0.0000], [-2.6379, 4.5690, 0.0000], [0.0000, 0.0000, 8.1696]],
  "species": ["Ca", "Ca", "Mg", "Mg", "Mg", "Mg", "Zn", "Zn"],
  "fractional_positions": [[0.0000, 0.0000, 0.0000], [0.0000, 0.0000, 0.5000], [0.3333, 0.6667, 0.0827], [0.3333, 0.6667, 0.4173], [0.6667, 0.3333, 0.5827], [0.6667, 0.3333, 0.9173], [0.3333, 0.6667, 0.7500], [0.6667, 0.3333, 0.2500]],
  "delta_e_f_ev_per_atom": 0.0782,
  "energy_ev_per_cell": -12.3,
  "magmom_total_mub_per_cell": 0.00
}


# 4
{
  "formula": "CaMg2Zn6",
  "functional": "GGA-PBE",
  "state": "optimized geometry",
  "cell": [[7.7744, 0.0000, 0.0000], [-3.8872, 6.7328, 0.0000], [0.0000, 0.0000, 3.2136]],
  "species": ["Ca", "Mg", "Mg", "Zn", "Zn", "Zn", "Zn", "Zn", "Zn"],
  "fractional_positions": [[0.0000, 0.0000, 0.0000], [0.3333, 0.6667, 0.0000], [0.6667, 0.3333, 0.0000], [0.0000, 0.3379, 0.5000], [0.0000, 0.6621, 0.5000], [0.3379, 0.0000, 0.5000], [0.3379, 0.3379, 0.5000], [0.6621, 0.0000, 0.5000], [0.6621, 0.6621, 0.5000]],
  "delta_e_f_ev_per_atom": -0.1275,
  "polymorph_energy_mev_per_atom": 0,
  "energy_ev_per_cell": -14.0,
  "magmom_total_mub_per_cell": 0.00
}


# 5
{
  "formula": "CaMgZn2",
  "functional": "GGA-PBE",
  "state": "optimized geometry",
  "cell": [[0.0000, 3.4344, 3.4344], [3.4344, 0.0000, 3.4344], [3.4344, 3.4344, 0.0000]],
  "species": ["Ca", "Mg", "Zn", "Zn"],
  "fractional_positions": [[0.0000, 0.0000, 0.0000], [0.7500, 0.7500, 0.7500], [0.2500, 0.2500, 0.2500], [0.5000, 0.5000, 0.5000]],
  "delta_e_f_ev_per_atom": -0.0863,
  "energy_ev_per_cell": -6.5,
  "magmom_total_mub_per_cell": 0.00
}


# 6
{
  "formula": "Ca3MgZn3",
  "functional": "GGA-PBE",
  "state": "optimized geometry",
  "cell": [[9.8460, 0.0000, 0.0000], [-4.9230, 8.5269, 0.0000], [0.0000, 0.0000, 4.5819]],
  "species": ["Ca", "Ca", "Ca", "Ca", "Ca", "Ca", "Mg", "Mg", "Zn", "Zn", "Zn", "Zn", "Zn", "Zn"],
  "fractional_positions": [[0.0848, 0.6821, 0.2500], [0.3179, 0.4027, 0.2500], [0.4027, 0.0848, 0.7500], [0.5973, 0.9152, 0.2500], [0.6821, 0.5973, 0.7500], [0.9152, 0.3179, 0.7500], [0.3333, 0.6667, 0.7500], [0.6667, 0.3333, 0.2500], [0.0374, 0.8619, 0.7500], [0.1381, 0.1755, 0.7500], [0.1755, 0.0374, 0.2500], [0.8245, 0.9626, 0.7500], [0.8619, 0.8245, 0.2500], [0.9626, 0.1381, 0.2500]],
  "delta_e_f_ev_per_atom": -0.1182,
  "polymorph_energy_mev_per_atom": 97,
  "energy_ev_per_cell": -24.5,
  "magmom_total_mub_per_cell": 0.00
}


# 7
{
  "formula": "Ca4MgZn3",
  "functional": "GGA-PBE",
  "state": "optimized geometry",
  "cell": [[2.6542, 1.5324, 8.6404], [-2.6542, 1.5324, 8.6404], [0.0000, -3.0648, 8.6404]],
  "species": ["Ca", "Ca", "Ca", "Ca", "Mg", "Zn", "Zn", "Zn"],
  "fractional_positions": [[0.1198, 0.1198, 0.1198], [0.3703, 0.3703, 0.3703], [0.6297, 0.6297, 0.6297], [0.8802, 0.8802, 0.8802], [0.5000, 0.5000, 0.5000], [0.0000, 0.0000, 0.0000], [0.2450, 0.2450, 0.2450], [0.7550, 0.7550, 0.7550]],
  "delta_e_f_ev_per_atom": -0.1842,
  "energy_ev_per_cell": -14.9,
  "magmom_total_mub_per_cell": 0.00
}


# 8
{
  "formula": "Ca4MgZn",
  "functional": "GGA-PBE",
  "state": "optimized geometry",
  "cell": [[11.7605, 0.0000, 0.0000], [0.0000, 3.7129, 0.0000], [0.0000, 0.0000, 9.4267]],
  "species": ["Ca", "Ca", "Ca", "Ca", "Ca", "Ca", "Ca", "Ca", "Mg", "Mg", "Zn", "Zn"],
  "fractional_positions": [[0.0000, 0.0000, 0.0000], [0.0822, 0.5000, 0.3457], [0.2500, 0.5000, 0.7778], [0.4178, 0.5000, 0.3457], [0.5000, 0.0000, 0.0000], [0.5822, 0.5000, 0.6543], [0.7500, 0.5000, 0.2222], [0.9178, 0.5000, 0.6543], [0.2500, 0.0000, 0.1268], [0.7500, 0.0000, 0.8732], [0.2500, 0.0000, 0.5087], [0.7500, 0.0000, 0.4913]],
  "delta_e_f_ev_per_atom": 0.0158,
  "polymorph_energy_mev_per_atom": 125,
  "energy_ev_per_cell": -21.6,
  "magmom_total_mub_per_cell": 0.00
}


# 9
{
  "formula": "Ca2MgZn2",
  "functional": "GGA-PBE",
  "state": "optimized geometry",
  "cell": [[-1.8690, 1.8690, 9.8194], [1.8690, -1.8690, 9.8194], [1.8690, 1.8690, -9.8194]],
  "species": ["Ca", "Ca", "Mg", "Zn", "Zn"],
  "fractional_positions": [[0.1147, 0.1147, 0.0000], [0.8853, 0.8853, 0.0000], [0.5000, 0.5000, 0.0000], [0.2500, 0.7500, 0.5000], [0.7500, 0.2500, 0.5000]],
  "delta_e_f_ev_per_atom": -0.0228,
  "energy_ev_per_cell": -8.3,
  "magmom_total_mub_per_cell": 0.00
}


# 10
{
  "formula": "Ca4MgZn8",
  "functional": "GGA-PBE",
  "state": "optimized geometry",
  "cell": [[-4.1175, 4.1175, 4.6643], [4.1175, -4.1175, 4.6643], [4.1175, 4.1175, -4.6643]],
  "species": ["Ca", "Ca", "Ca", "Ca", "Mg", "Zn", "Zn", "Zn", "Zn", "Zn", "Zn", "Zn", "Zn"],
  "fractional_positions": [[0.0000, 0.0000, 0.5000], [0.0000, 0.5000, 0.0000], [0.5000, 0.0000, 0.0000], [0.5000, 0.5000, 0.5000], [0.0000, 0.0000, 0.0000], [0.0000, 0.3440, 0.3440], [0.0000, 0.6560, 0.6560], [0.2805, 0.5000, 0.7805], [0.3440, 0.0000, 0.3440], [0.5000, 0.2805, 0.7805], [0.5000, 0.7195, 0.2195], [0.6560, 0.0000, 0.6560], [0.7195, 0.5000, 0.2195]],
  "delta_e_f_ev_per_atom": -0.1019,
  "polymorph_energy_mev_per_atom": 0,
  "energy_ev_per_cell": -21.1,
  "magmom_total_mub_per_cell": 0.00
}


# 11
{
  "formula": "CaMgZn",
  "functional": "GGA-PBE",
  "state": "optimized geometry",
  "cell": [[5.1380, 0.0000, 0.0000], [-2.5690, 4.4496, 0.0000], [0.0000, 0.0000, 3.4016]],
  "species": ["Ca", "Mg", "Zn"],
  "fractional_positions": [[0.0000, 0.0000, 0.0000], [0.3333, 0.6667, 0.5000], [0.6667, 0.3333, 0.0000]],
  "delta_e_f_ev_per_atom": 0.0724,
  "energy_ev_per_cell": -4.7,
  "magmom_total_mub_per_cell": 0.00
}


# 12
{
  "formula": "Ca2Mg4Zn",
  "functional": "GGA-PBE",
  "state": "optimized geometry",
  "cell": [[2.6333, 1.5203, 7.4733], [-2.6333, 1.5203, 7.4733], [0.0000, -3.0406, 7.4733]],
  "species": ["Ca", "Ca", "Mg", "Mg", "Mg", "Mg", "Zn"],
  "fractional_positions": [[0.2138, 0.2138, 0.2138], [0.7862, 0.7862, 0.7862], [0.0644, 0.0644, 0.0644], [0.3672, 0.3672, 0.3672], [0.6328, 0.6328, 0.6328], [0.9356, 0.9356, 0.9356], [0.5000, 0.5000, 0.5000]],
  "delta_e_f_ev_per_atom": -0.0670,
  "polymorph_energy_mev_per_atom": 0,
  "energy_ev_per_cell": -12.1,
  "magmom_total_mub_per_cell": 0.00
}


# 13
{
  "formula": "Ca2Mg4Zn3",
  "functional": "GGA-PBE",
  "state": "optimized geometry",
  "cell": [[7.2505, -2.4672, 0.0000], [7.2505, 2.4672, 0.0000], [-2.9963, 0.0000, 5.8745]],
  "species": ["Ca", "Ca", "Mg", "Mg", "Mg", "Mg", "Zn", "Zn", "Zn"],
  "fractional_positions": [[0.1615, 0.1615, 0.3015], [0.8385, 0.8385, 0.6985], [0.0771, 0.0771, 0.7305], [0.3153, 0.3153, 0.0316], [0.6847, 0.6847, 0.9684], [0.9229, 0.9229, 0.2695], [0.4241, 0.4241, 0.5537], [0.5000, 0.5000, 0.0000], [0.5759, 0.5759, 0.4463]],
  "delta_e_f_ev_per_atom": -0.0917,
  "energy_ev_per_cell": -15.0,
  "magmom_total_mub_per_cell": 0.00
}


# 14
{
  "formula": "CaMg4Zn",
  "functional": "GGA-PBE",
  "state": "optimized geometry",
  "cell": [[0.0000, 4.2278, 4.2278], [4.2278, 0.0000, 4.2278], [4.2278, 4.2278, 0.0000]],
  "species": ["Ca", "Mg", "Mg", "Mg", "Mg", "Zn"],
  "fractional_positions": [[0.0000, 0.0000, 0.0000], [0.1256, 0.6248, 0.6248], [0.6248, 0.1256, 0.6248], [0.6248, 0.6248, 0.1256], [0.6248, 0.6248, 0.6248], [0.2500, 0.2500, 0.2500]],
  "delta_e_f_ev_per_atom": 0.0691,
  "polymorph_energy_mev_per_atom": 180,
  "energy_ev_per_cell": -9.2,
  "magmom_total_mub_per_cell": 0.00
}


# 15
{
  "formula": "CaMgZn4",
  "functional": "GGA-PBE",
  "state": "optimized geometry",
  "cell": [[8.0173, 0.0000, 0.0000], [0.0000, 4.0923, 0.0000], [0.0000, 0.0000, 7.3044]],
  "species": ["Ca", "Ca", "Mg", "Mg", "Zn", "Zn", "Zn", "Zn", "Zn", "Zn", "Zn", "Zn"],
  "fractional_positions": [[0.2500, 0.0000, 0.1436], [0.7500, 0.0000, 0.8564], [0.2500, 0.0000, 0.7245], [0.7500, 0.0000, 0.2755], [0.0000, 0.0000, 0.5000], [0.0338, 0.5000, 0.8012], [0.2500, 0.5000, 0.4529], [0.4662, 0.5000, 0.8012], [0.5000, 0.0000, 0.5000], [0.5338, 0.5000, 0.1988], [0.7500, 0.5000, 0.5471], [0.9662, 0.5000, 0.1988]],
  "delta_e_f_ev_per_atom": -0.0514,
  "energy_ev_per_cell": -18.0,
  "magmom_total_mub_per_cell": 0.00
}


# 16
{
  "formula": "CaMg2Zn6",
  "functional": "GGA-PBE",
  "state": "optimized geometry",
  "cell": [[-1.7336, 3.7423, 6.6326], [1.7336, -3.7423, 6.6326], [1.7336, 3.7423, -6.6326]],
  "species": ["Ca", "Mg", "Mg", "Zn", "Zn", "Zn", "Zn", "Zn", "Zn"],
  "fractional_positions": [[0.0000, 0.0000, 0.0000], [0.3613, 0.8613, 0.5000], [0.6387, 0.1387, 0.5000], [0.0052, 0.3220, 0.6832], [0.3294, 0.5000, 0.8294], [0.3611, 0.6780, 0.6832], [0.6389, 0.3220, 0.3168], [0.6706, 0.5000, 0.1706], [0.9948, 0.6780, 0.3168]],
  "delta_e_f_ev_per_atom": -0.1249,
  "polymorph_energy_mev_per_atom": 3,
  "energy_ev_per_cell": -14.0,
  "magmom_total_mub_per_cell": 0.00
}


# 17
{
  "formula": "CaMg5Zn",
  "functional": "GGA-PBE",
  "state": "optimized geometry",
  "cell": [[4.7046, 0.0000, 0.0000], [0.0000, 4.7046, 0.0000], [0.0000, 0.0000, 7.9894]],
  "species": ["Ca", "Mg", "Mg", "Mg", "Mg", "Mg", "Zn"],
  "fractional_positions": [[0.0000, 0.0000, 0.0000], [0.0000, 0.5000, 0.3053], [0.0000, 0.5000, 0.6947], [0.5000, 0.0000, 0.3053], [0.5000, 0.0000, 0.6947], [0.5000, 0.5000, 0.0000], [0.5000, 0.5000, 0.5000]],
  "delta_e_f_ev_per_atom": 0.0284,
  "polymorph_energy_mev_per_atom": 0,
  "energy_ev_per_cell": -11.0,
  "magmom_total_mub_per_cell": 0.00
}


# 18
{
  "formula": "Ca3Mg4Zn",
  "functional": "GGA-PBE",
  "state": "optimized geometry",
  "cell": [[3.6885, 0.0000, 0.0000], [0.0000, 3.6885, 0.0000], [0.0000, 0.0000, 16.3202]],
  "species": ["Ca", "Ca", "Ca", "Mg", "Mg", "Mg", "Mg", "Zn"],
  "fractional_positions": [[0.0000, 0.0000, 0.0000], [0.0000, 0.0000, 0.2734], [0.0000, 0.0000, 0.7266], [0.5000, 0.5000, 0.1371], [0.5000, 0.5000, 0.4091], [0.5000, 0.5000, 0.5909], [0.5000, 0.5000, 0.8629], [0.0000, 0.0000, 0.5000]],
  "delta_e_f_ev_per_atom": -0.0556,
  "energy_ev_per_cell": -14.1,
  "magmom_total_mub_per_cell": 0.00
}


# 19
{
  "formula": "Ca2MgZn2",
  "functional": "GGA-PBE",
  "state": "optimized geometry",
  "cell": [[6.4692, -1.7823, 0.0000], [6.4692, 1.7823, 0.0000], [-1.4042, 0.0000, 5.7138]],
  "species": ["Ca", "Ca", "Mg", "Zn", "Zn"],
  "fractional_positions": [[0.1349, 0.1349, 0.0726], [0.8651, 0.8651, 0.9274], [0.5000, 0.5000, 0.5000], [0.1937, 0.1937, 0.6025], [0.8063, 0.8063, 0.3975]],
  "delta_e_f_ev_per_atom": -0.0455,
  "energy_ev_per_cell": -8.4,
  "magmom_total_mub_per_cell": 0.00
}


# 20
{
  "formula": "CaMgZn2",
  "functional": "GGA-PBE",
  "state": "optimized geometry",
  "cell": [[4.9993, 0.0000, 0.0000], [-2.4997, 4.3296, 0.0000], [0.0000, 0.0000, 8.0567]],
  "species": ["Ca", "Ca", "Mg", "Mg", "Zn", "Zn", "Zn", "Zn"],
  "fractional_positions": [[0.0000, 0.0000, 0.0000], [0.0000, 0.0000, 0.5000], [0.3333, 0.6667, 0.2500], [0.6667, 0.3333, 0.7500], [0.3333, 0.6667, 0.5981], [0.3333, 0.6667, 0.9019], [0.6667, 0.3333, 0.0981], [0.6667, 0.3333, 0.4019]],
  "delta_e_f_ev_per_atom": -0.1490,
  "energy_ev_per_cell": -13.5,
  "magmom_total_mub_per_cell": 0.00
}


# 21
{
  "formula": "Ca2Mg6Zn3",
  "functional": "GGA-PBE",
  "state": "optimized geometry",
  "cell": [[8.2853, 0.0000, 0.0000], [-4.1427, 7.1753, 0.0000], [0.0000, 0.0000, 4.5334]],
  "species": ["Ca", "Ca", "Mg", "Mg", "Mg", "Mg", "Mg", "Mg", "Zn", "Zn", "Zn"],
  "fractional_positions": [[0.3333, 0.6667, 0.0000], [0.6667, 0.3333, 0.0000], [0.0000, 0.2117, 0.0000], [0.0000, 0.7195, 0.5000], [0.2117, 0.0000, 0.0000], [0.2805, 0.2805, 0.5000], [0.7195, 0.0000, 0.5000], [0.7883, 0.7883, 0.0000], [0.0000, 0.3947, 0.5000], [0.3947, 0.0000, 0.5000], [0.6053, 0.6053, 0.5000]],
  "delta_e_f_ev_per_atom": -0.0576,
  "energy_ev_per_cell": -18.0,
  "magmom_total_mub_per_cell": 0.00
}


# 22
{
  "formula": "CaMg2Zn",
  "functional": "GGA-PBE",
  "state": "optimized geometry",
  "cell": [[0.0000, 3.5949, 3.5949], [3.5949, 0.0000, 3.5949], [3.5949, 3.5949, 0.0000]],
  "species": ["Ca", "Mg", "Mg", "Zn"],
  "fractional_positions": [[0.0000, 0.0000, 0.0000], [0.5000, 0.5000, 0.5000], [0.7500, 0.7500, 0.7500], [0.2500, 0.2500, 0.2500]],
  "delta_e_f_ev_per_atom": -0.0987,
  "energy_ev_per_cell": -6.9,
  "magmom_total_mub_per_cell": 0.00
}


# 23
{
  "formula": "Ca5MgZn2",
  "functional": "GGA-PBE",
  "state": "optimized geometry",
  "cell": [[-4.1081, 4.1081, 7.4609], [4.1081, -4.1081, 7.4609], [4.1081, 4.1081, -7.4609]],
  "species": ["Ca", "Ca", "Ca", "Ca", "Ca", "Ca", "Ca", "Ca", "Ca", "Ca", "Mg", "Mg", "Zn", "Zn", "Zn", "Zn"],
  "fractional_positions": [[0.0000, 0.0000, 0.0000], [0.0239, 0.5239, 0.8305], [0.1933, 0.0239, 0.5000], [0.3067, 0.8067, 0.8305], [0.4761, 0.3067, 0.5000], [0.5000, 0.5000, 0.0000], [0.5239, 0.6933, 0.5000], [0.6933, 0.1933, 0.1695], [0.8067, 0.9761, 0.5000], [0.9761, 0.4761, 0.1695], [0.2500, 0.2500, 0.0000], [0.7500, 0.7500, 0.0000], [0.1207, 0.3793, 0.5000], [0.3793, 0.8793, 0.2585], [0.6207, 0.1207, 0.7415], [0.8793, 0.6207, 0.5000]],
  "delta_e_f_ev_per_atom": -0.1503,
  "energy_ev_per_cell": -30.7,
  "magmom_total_mub_per_cell": 0.00
}


# 24
{
  "formula": "Ca2MgZn3",
  "functional": "GGA-PBE",
  "state": "optimized geometry",
  "cell": [[5.8993, -3.7703, 0.0000], [5.8993, 3.7703, 0.0000], [0.0000, 0.0000, 6.9096]],
  "species": ["Ca", "Ca", "Ca", "Ca", "Mg", "Mg", "Zn", "Zn", "Zn", "Zn", "Zn", "Zn"],
  "fractional_positions": [[0.2205, 0.2205, 0.0000], [0.2205, 0.2205, 0.5000], [0.7795, 0.7795, 0.0000], [0.7795, 0.7795, 0.5000], [0.3592, 0.6408, 0.7500], [0.6408, 0.3592, 0.2500], [0.0010, 0.9990, 0.7500], [0.1929, 0.5929, 0.2500], [0.4071, 0.8071, 0.2500], [0.5929, 0.1929, 0.7500], [0.8071, 0.4071, 0.7500], [0.9990, 0.0010, 0.2500]],
  "delta_e_f_ev_per_atom": -0.0565,
  "polymorph_energy_mev_per_atom": 162,
  "energy_ev_per_cell": -19.5,
  "magmom_total_mub_per_cell": 0.00
}